# 1
Here is crystalline TlTcPt2S at its relaxed geometry from Alexandria via LeMat-Bulk. Energies are from PBE. Values from VASP.

Output
- Fermi-level density of states: 2.40 states/eV/cell
- Symmetry: P4/mmm (123)
- Size of the total moment: 4.4 μB per formula unit

Cell and atoms, written as Quantum ESPRESSO input:
```
&SYSTEM
  ibrav = 0, nat = 5, ntyp = 4
/
ATOMIC_SPECIES
Tc 98.00 Tc.upf
Pt 195.08 Pt.upf
Tl 204.38 Tl.upf
S 32.06 S.upf
ATOMIC_POSITIONS crystal
Tc 0.500 0.500 0.500
Pt 0.000 0.000 0.500
Tl 0.000 0.000 0.000
S 0.000 0.500 0.000
Pt 0.500 0.000 0.000
CELL_PARAMETERS angstrom
5.064 0.000 0.000
0.000 4.973 0.000
0.000 0.000 5.064
```

=====

# 2
Here is crystalline TePt3S at its relaxed geometry from Alexandria via LeMat-Bulk. Energies are from PBE. Values from VASP.

Output
- E above lowest polymorph: 0.00 eV/f.u.
- Fermi-level density of states: 5.58 states/eV/cell
- Symmetry: Pm-3m (221)
- Size of the total moment: 0.0 μB per formula unit

Cell and atoms, written as Quantum ESPRESSO input:
```
&SYSTEM
  ibrav = 0, nat = 5, ntyp = 3
/
ATOMIC_SPECIES
Pt 195.08 Pt.upf
Te 127.60 Te.upf
S 32.06 S.upf
ATOMIC_POSITIONS crystal
Pt 0.500 0.000 0.000
Pt 0.000 0.500 0.000
Te 0.500 0.500 0.500
Pt 0.000 0.000 0.500
S 0.000 0.000 0.000
CELL_PARAMETERS angstrom
4.609 0.000 0.000
0.000 4.609 0.000
0.000 0.000 4.609
```

=====

# 3
Here is crystalline TePt3S8 at its relaxed geometry from Alexandria via LeMat-Bulk. Energies are from PBE. Values from VASP.

Output
- Fermi-level density of states: 0.91 states/eV/cell
- Symmetry: C2/m (12)
- Size of the total moment: 0.0 μB per formula unit

Cell and atoms, written as Quantum ESPRESSO input:
```
&SYSTEM
  ibrav = 0, nat = 12, ntyp = 3
/
ATOMIC_SPECIES
Te 127.60 Te.upf
S 32.06 S.upf
Pt 195.08 Pt.upf
ATOMIC_POSITIONS crystal
Te 0.000 0.000 0.000
S 0.731 0.463 0.189
S 0.745 0.490 0.787
Pt 0.500 0.500 0.000
Pt 0.000 0.500 0.000
S 0.708 0.963 0.213
Pt 0.500 0.000 0.000
S 0.255 0.510 0.213
S 0.292 0.037 0.787
S 0.269 0.537 0.811
S 0.745 0.037 0.787
S 0.255 0.963 0.213
CELL_PARAMETERS angstrom
-6.757 2.538 0.010
1.826 -5.419 4.401
2.664 7.086 1.554
```

=====

# 4
Here is crystalline TePt2S6 at its relaxed geometry from Alexandria via LeMat-Bulk. Energies are from PBE. Values from VASP.

Output
- Symmetry: P-31m (162)
- Size of the total moment: 0.0 μB per formula unit

Cell and atoms, written as Quantum ESPRESSO input:
```
&SYSTEM
  ibrav = 0, nat = 9, ntyp = 3
/
ATOMIC_SPECIES
Pt 195.08 Pt.upf
S 32.06 S.upf
Te 127.60 Te.upf
ATOMIC_POSITIONS crystal
Pt 0.500 0.333 0.667
S 0.285 0.000 0.637
S 0.285 0.363 0.363
S 0.715 0.637 0.637
Te 0.500 0.000 0.000
S 0.285 0.637 0.000
S 0.715 0.000 0.363
Pt 0.500 0.667 0.333
S 0.715 0.363 0.000
CELL_PARAMETERS angstrom
6.318 0.000 0.000
0.000 5.443 -3.143
0.000 0.000 6.285
```

=====

# 5
Here is crystalline TePt2S at its relaxed geometry from Alexandria via LeMat-Bulk. Energies are from PBE. Values from VASP.

Output
- E above lowest polymorph: 0.00 eV/f.u.
- Fermi-level density of states: 2.62 states/eV/cell
- Symmetry: I-42d (122)
- Size of the total moment: 0.0 μB per formula unit

Cell and atoms, written as Quantum ESPRESSO input:
```
&SYSTEM
  ibrav = 0, nat = 8, ntyp = 3
/
ATOMIC_SPECIES
S 32.06 S.upf
Pt 195.08 Pt.upf
Te 127.60 Te.upf
ATOMIC_POSITIONS crystal
S 0.500 0.500 0.000
Pt 0.375 0.469 0.750
Pt 0.531 0.125 0.250
Pt 0.875 0.781 0.750
Te 0.000 0.000 0.000
Te 0.750 0.250 0.500
S 0.250 0.750 0.500
Pt 0.219 0.625 0.250
CELL_PARAMETERS angstrom
-0.950 -2.845 4.000
4.909 -0.566 0.763
2.005 3.981 6.432
```

=====

# 6
Here is crystalline Te2Pt2S at its relaxed geometry from Alexandria via LeMat-Bulk. Energies are from PBE. Values from VASP.

Output
- E above lowest polymorph: 0.00 eV/f.u.
- Fermi-level density of states: 4.72 states/eV/cell
- Symmetry: I4/mmm (139)
- Size of the total moment: 0.0 μB per formula unit

Cell and atoms, written as Quantum ESPRESSO input:
```
&SYSTEM
  ibrav = 0, nat = 5, ntyp = 3
/
ATOMIC_SPECIES
Pt 195.08 Pt.upf
Te 127.60 Te.upf
S 32.06 S.upf
ATOMIC_POSITIONS crystal
Pt 0.250 0.750 0.500
Pt 0.750 0.250 0.500
Te 0.619 0.619 0.763
S 0.000 0.000 0.000
Te 0.381 0.381 0.237
CELL_PARAMETERS angstrom
3.860 0.000 0.000
0.000 3.860 0.000
1.930 1.930 7.380
```

=====

# 7
Here is crystalline TePtS4 at its relaxed geometry from Alexandria via LeMat-Bulk. Energies are from PBE. Values from VASP.

Output
- Symmetry: C2/m (12)
- Size of the total moment: 0.0 μB per formula unit

Cell and atoms, written as Quantum ESPRESSO input:
```
&SYSTEM
  ibrav = 0, nat = 6, ntyp = 3
/
ATOMIC_SPECIES
S 32.06 S.upf
Te 127.60 Te.upf
Pt 195.08 Pt.upf
ATOMIC_POSITIONS crystal
S 0.103 0.749 0.207
S 0.386 0.675 0.772
S 0.897 0.251 0.793
Te 0.000 0.000 0.000
Pt 0.500 0.500 0.000
S 0.614 0.325 0.228
CELL_PARAMETERS angstrom
-1.486 -3.263 -0.854
2.455 0.418 -5.869
4.750 -1.580 5.723
```

=====

# 8
Here is crystalline Te2Pt2S at its relaxed geometry from Alexandria via LeMat-Bulk. Energies are from PBE. Values from VASP.

Output
- E above lowest polymorph: 0.87 eV/f.u.
- Fermi-level density of states: 6.05 states/eV/cell
- Symmetry: P4/mbm (127)
- Size of the total moment: 0.0 μB per formula unit

Cell and atoms, written as Quantum ESPRESSO input:
```
&SYSTEM
  ibrav = 0, nat = 10, ntyp = 3
/
ATOMIC_SPECIES
Te 127.60 Te.upf
Pt 195.08 Pt.upf
S 32.06 S.upf
ATOMIC_POSITIONS crystal
Te 0.663 0.837 0.500
Te 0.337 0.163 0.500
Pt 0.865 0.635 0.000
Pt 0.135 0.365 0.000
Pt 0.635 0.135 0.000
Te 0.837 0.337 0.500
S 0.500 0.500 0.000
S 0.000 0.000 0.000
Pt 0.365 0.865 0.000
Te 0.163 0.663 0.500
CELL_PARAMETERS angstrom
-3.372 -2.804 -5.942
4.111 -6.110 0.551
-2.600 -1.550 2.207
```

=====

# 9
Here is crystalline TePt3S at its relaxed geometry from Alexandria via LeMat-Bulk. Energies are from PBE. Values from VASP.

Output
- E above lowest polymorph: 3.96 eV/f.u.
- Fermi-level density of states: 8.75 states/eV/cell
- Symmetry: Pm-3m (221)
- Size of the total moment: 0.0 μB per formula unit

Cell and atoms, written as Quantum ESPRESSO input:
```
&SYSTEM
  ibrav = 0, nat = 5, ntyp = 3
/
ATOMIC_SPECIES
Te 127.60 Te.upf
Pt 195.08 Pt.upf
S 32.06 S.upf
ATOMIC_POSITIONS crystal
Te 0.000 0.000 0.000
Pt 0.000 0.000 0.500
Pt 0.000 0.500 0.000
Pt 0.500 0.000 0.000
S 0.500 0.500 0.500
CELL_PARAMETERS angstrom
-0.487 -1.765 -4.624
0.059 -4.648 1.768
-4.949 0.118 0.476
```

=====

# 10
Here is crystalline TePtS3 at its relaxed geometry from Alexandria via LeMat-Bulk. Energies are from PBE. Values from VASP.

Output
- E above lowest polymorph: 0.00 eV/f.u.
- Fermi-level density of states: 4.29 states/eV/cell
- Symmetry: Pm-3m (221)
- Size of the total moment: 0.0 μB per formula unit

Cell and atoms, written as Quantum ESPRESSO input:
```
&SYSTEM
  ibrav = 0, nat = 5, ntyp = 3
/
ATOMIC_SPECIES
Pt 195.08 Pt.upf
Te 127.60 Te.upf
S 32.06 S.upf
ATOMIC_POSITIONS crystal
Pt 0.000 0.000 0.000
Te 0.500 0.500 0.500
S 0.500 0.000 0.000
S 0.000 0.500 0.000
S 0.000 0.000 0.500
CELL_PARAMETERS angstrom
4.709 0.000 0.000
0.000 4.709 0.000
0.000 0.000 4.709
```

=====

# 11
Here is crystalline TePt2S at its relaxed geometry from Alexandria via LeMat-Bulk. Energies are from PBE. Values from VASP.

Output
- E above lowest polymorph: 1.69 eV/f.u.
- Fermi-level density of states: 1.60 states/eV/cell
- Symmetry: Fm-3m (225)
- Size of the total moment: 0.0 μB per formula unit

Cell and atoms, written as Quantum ESPRESSO input:
```
&SYSTEM
  ibrav = 0, nat = 4, ntyp = 3
/
ATOMIC_SPECIES
S 32.06 S.upf
Pt 195.08 Pt.upf
Te 127.60 Te.upf
ATOMIC_POSITIONS crystal
S 0.000 0.000 0.000
Pt 0.250 0.250 0.250
Pt 0.750 0.750 0.750
Te 0.500 0.500 0.500
CELL_PARAMETERS angstrom
3.299 -2.041 -2.586
0.296 -4.650 -0.154
-1.170 -2.282 -3.893
```

=====

# 12
Here is crystalline Te2Pt2S at its relaxed geometry from Alexandria via LeMat-Bulk. Energies are from PBE. Values from VASP.

Output
- E above lowest polymorph: 0.47 eV/f.u.
- Fermi-level density of states: 4.83 states/eV/cell
- Symmetry: I4/mmm (139)
- Size of the total moment: 0.0 μB per formula unit

Cell and atoms, written as Quantum ESPRESSO input:
```
&SYSTEM
  ibrav = 0, nat = 5, ntyp = 3
/
ATOMIC_SPECIES
Te 127.60 Te.upf
Pt 195.08 Pt.upf
S 32.06 S.upf
ATOMIC_POSITIONS crystal
Te 0.250 0.750 0.500
Pt 0.328 0.328 0.344
Te 0.750 0.250 0.500
Pt 0.672 0.672 0.656
S 0.000 0.000 0.000
CELL_PARAMETERS angstrom
5.370 0.000 0.000
0.000 5.370 0.000
2.685 2.685 3.806
```

=====

# 13
Here is crystalline Th6Te3Pt2S at its relaxed geometry from Alexandria via LeMat-Bulk. Energies are from PBE. Values from VASP.

Output
- Fermi-level density of states: 10.16 states/eV/cell
- Symmetry: C2/m (12)
- Size of the total moment: 0.0 μB per formula unit

Cell and atoms, written as Quantum ESPRESSO input:
```
&SYSTEM
  ibrav = 0, nat = 12, ntyp = 4
/
ATOMIC_SPECIES
S 32.06 S.upf
Te 127.60 Te.upf
Pt 195.08 Pt.upf
Th 232.04 Th.upf
ATOMIC_POSITIONS crystal
S 0.000 0.000 0.000
Te 0.164 0.836 0.500
Pt 0.333 0.667 0.000
Pt 0.667 0.333 0.000
Th 0.409 0.071 0.213
Th 0.269 0.269 0.789
Th 0.071 0.409 0.213
Th 0.731 0.731 0.211
Te 0.836 0.164 0.500
Te 0.500 0.500 0.500
Th 0.591 0.929 0.787
Th 0.929 0.591 0.787
CELL_PARAMETERS angstrom
7.405 0.004 0.002
-3.697 6.416 0.002
-1.235 -2.138 7.394
```

=====

Sequential formation energy (no corrections) output: 1678 403 -201 -150 -144 26 -71 200 1194 449 278 121 -1255 meV per atom